Below is an optimized crystal structure of Pm3Nd3TlHg2, with properties calculated at the GGA-PBE level.

## Properties
ΔE_f = -0.253 eV/atom
space group = P-62m, No. 189

Lattice parameters (Å, degrees): 9.0922 9.0922 3.8507 90.00 90.00 120.00
Last column: nearest neighbours and their distance in Å.
Element x y z (fractional)
Pm  0.0000  0.3878  0.0000  4 Hg 3.41, 1 Tl 3.53, 6 Nd 3.53-3.71
Pm  0.3878  0.0000  0.0000  4 Hg 3.41, 1 Tl 3.53, 6 Nd 3.53-3.71
Pm  0.6122  0.6122  0.0000  4 Hg 3.41, 1 Tl 3.53, 6 Nd 3.53-3.71
Nd  0.0000  0.7136  0.5000  2 Tl 3.24, 2 Hg 3.27, 2 Pm 3.53
Nd  0.2864  0.2864  0.5000  2 Tl 3.24, 2 Hg 3.27, 2 Pm 3.53
Nd  0.7136  0.0000  0.5000  2 Tl 3.24, 2 Hg 3.27, 2 Pm 3.53
Tl  0.0000  0.0000  0.0000  6 Nd 3.24, 3 Pm 3.53
Hg  0.3333  0.6667  0.5000  3 Nd 3.27, 6 Pm 3.41
Hg  0.6667  0.3333  0.5000  3 Nd 3.27, 6 Pm 3.41

=====

Below is an optimized crystal structure of Ac2PrDyY5, with properties calculated at the GGA-PBE level.

## Properties
ΔE_f = 0.154 eV/atom
space group = Cmc2_1, No. 36

Lattice parameters (Å, degrees): 10.5257 10.5257 10.9428 90.00 90.00 147.88
Last column: nearest neighbours and their distance in Å.
Element x y z (fractional)
Ac  0.1134  0.8866  0.5000  7 Y 3.50-3.74, 1 Dy 3.58, 2 Pr 3.90
Ac  0.1150  0.8850  0.0877  9 Y 3.40-3.76, 1 Dy 3.80
Ac  0.8850  0.1150  0.5877  9 Y 3.40-3.76, 1 Dy 3.80
Ac  0.8866  0.1134  0.0000  7 Y 3.50-3.74, 1 Dy 3.58, 2 Pr 3.90
Pr  0.4160  0.5840  0.2302  5 Y 3.14-3.30
Pr  0.5840  0.4160  0.7302  5 Y 3.14-3.30
Dy  0.2037  0.7963  0.7817  2 Ac 3.58-3.80, 8 Y 3.61-3.84, 2 Pr 3.83
Dy  0.7963  0.2037  0.2817  2 Ac 3.58-3.80, 8 Y 3.61-3.84, 2 Pr 3.83
Y  0.0189  0.9811  0.7934  2 Pr 3.27, 2 Ac 3.50-3.52
Y  0.2829  0.7171  0.0825  1 Pr 3.14, 1 Ac 3.40
Y  0.2974  0.7026  0.4761  4 Y 3.53-3.87, 1 Pr 3.61, 3 Dy 3.61-3.84, 3 Ac 3.62-3.73
Y  0.3868  0.6132  0.7892  6 Y 3.57-3.95, 4 Ac 3.65-3.71, 1 Dy 3.71
Y  0.4814  0.5186  0.5066  2 Pr 3.21-3.30, 1 Y 3.57
Y  0.5186  0.4814  0.0066  2 Pr 3.21-3.30, 1 Y 3.57
Y  0.6132  0.3868  0.2892  6 Y 3.57-3.95, 4 Ac 3.65-3.71, 1 Dy 3.71
Y  0.7026  0.2974  0.9761  4 Y 3.53-3.87, 1 Pr 3.61, 3 Dy 3.61-3.84, 3 Ac 3.62-3.73
Y  0.7171  0.2829  0.5825  1 Pr 3.14, 1 Ac 3.40
Y  0.9811  0.0189  0.2934  2 Pr 3.27, 2 Ac 3.50-3.52

=====

Below is an optimized crystal structure of CeAl2AgAu2, with properties calculated at the GGA-PBE level.

## Properties
ΔE_f = -0.505 eV/atom
space group = P-3m1, No. 164

Lattice parameters (Å, degrees): 4.4689 4.4689 6.9963 90.00 90.00 120.00
Last column: nearest neighbours and their distance in Å.
Element x y z (fractional)
Ce  0.0000  0.0000  0.0000  6 Au 3.19, 6 Al 3.44, 2 Ag 3.50
Al  0.3333  0.6667  0.6753  4 Au 2.61-2.84, 3 Ag 2.86
Al  0.6667  0.3333  0.3247  4 Au 2.61-2.84, 3 Ag 2.86
Ag  0.0000  0.0000  0.5000  6 Al 2.86, 6 Au 3.04
Au  0.3333  0.6667  0.2692  4 Al 2.61-2.84
Au  0.6667  0.3333  0.7308  4 Al 2.61-2.84

=====

Below is an optimized crystal structure of YTcSe2, with properties calculated at the GGA-PBE level.

## Properties
E = -6.685 eV per atom
space group = Amm2, No. 38

Lattice parameters (Å, degrees): 4.5498 5.4808 5.4808 41.77 90.00 90.00
Last column: nearest neighbours and their distance in Å.
Element x y z (fractional)
Y  0.0000  0.0000  0.0000  7 Se 2.92-3.07, 2 Tc 3.12
Tc  0.5000  0.2081  0.2081  4 Se 2.42-2.45
Se  0.0000  0.2884  0.2884  2 Tc 2.42
Se  0.5000  0.5631  0.5631  2 Tc 2.45

=====

Below is an optimized crystal structure of Ag3BiSb, with properties calculated at the GGA-PBE level.

## Properties
E = -2.776 eV per atom
space group = Pm-3m, No. 221

Lattice parameters (Å, degrees): 5.2498 5.2498 5.2498 90.00 90.00 90.00
Last column: nearest neighbours and their distance in Å.
Element x y z (fractional)
Ag  0.0000  0.0000  0.5000  2 Sb 2.62
Ag  0.0000  0.5000  0.0000  2 Sb 2.62
Ag  0.5000  0.0000  0.0000  2 Sb 2.62
Bi  0.5000  0.5000  0.5000  12 Ag 3.71
Sb  0.0000  0.0000  0.0000  6 Ag 2.62

=====

Below is an optimized crystal structure of Sr2CeAg2O6, with properties calculated at the GGA-PBE level.

## Properties
E = -5.763 eV per atom
space group = R-3m, No. 166

Lattice parameters (Å, degrees): 6.8533 6.8533 6.8533 55.33 55.33 55.33
Last column: nearest neighbours and their distance in Å.
Element x y z (fractional)
Sr  0.2004  0.2004  0.2004  3 O 2.48
Sr  0.7996  0.7996  0.7996  3 O 2.48
Ce  0.0000  0.0000  0.0000  6 O 2.24
Ag  0.4166  0.4166  0.4166  3 O 2.09
Ag  0.5834  0.5834  0.5834  3 O 2.09
O  0.1981  0.7646  0.7646  1 Ag 2.09, 1 Ce 2.24
O  0.2354  0.2354  0.8019  1 Ag 2.09, 1 Ce 2.24
O  0.2354  0.8019  0.2354  1 Ag 2.09, 1 Ce 2.24
O  0.7646  0.1981  0.7646  1 Ag 2.09, 1 Ce 2.24
O  0.7646  0.7646  0.1981  1 Ag 2.09, 1 Ce 2.24
O  0.8019  0.2354  0.2354  1 Ag 2.09, 1 Ce 2.24

=====

Below is an optimized crystal structure of ThBe2Co4Si, with properties calculated at the GGA-PBE level.

## Properties
E = -6.466 eV per atom
space group = R-3m, No. 166

Lattice parameters (Å, degrees): 8.2623 8.2623 8.2623 26.36 26.36 26.36
Last column: nearest neighbours and their distance in Å.
Element x y z (fractional)
Th  0.0000  0.0000  0.0000  6 Co 2.77
Be  0.2310  0.2310  0.2310  7 Co 2.29-2.35
Be  0.7690  0.7690  0.7690  7 Co 2.29-2.35
Co  0.1328  0.1328  0.1328  4 Be 2.29-2.35, 3 Si 2.32
Co  0.4048  0.4048  0.4048  1 Si 2.28, 3 Be 2.30
Co  0.5952  0.5952  0.5952  1 Si 2.28, 3 Be 2.30
Co  0.8672  0.8672  0.8672  4 Be 2.29-2.35, 3 Si 2.32
Si  0.5000  0.5000  0.5000  8 Co 2.28-2.32

=====

Below is an optimized crystal structure of Zr3VIn, with properties calculated at the GGA-PBE level.

## Properties
ΔE_f = 0.457 eV/atom
space group = Pm-3m, No. 221

Lattice parameters (Å, degrees): 4.8999 4.8999 4.8999 90.00 90.00 90.00
Last column: nearest neighbours and their distance in Å.
Element x y z (fractional)
Zr  0.0000  0.0000  0.5000  2 V 2.45
Zr  0.0000  0.5000  0.0000  2 V 2.45
Zr  0.5000  0.0000  0.0000  2 V 2.45
V  0.0000  0.0000  0.0000  6 Zr 2.45
In  0.5000  0.5000  0.5000  12 Zr 3.46

=====

Below is an optimized crystal structure of Cs3Ag2Br8, with properties calculated at the GGA-PBE level.

## Properties
E = -2.526 eV per atom
space group = R-3m, No. 166

Lattice parameters (Å, degrees): 11.7368 11.7368 11.7368 36.64 36.64 36.64
Last column: nearest neighbours and their distance in Å.
Element x y z (fractional)
Cs  0.0000  0.0000  0.0000  12 Br 3.91-4.28
Cs  0.2084  0.2084  0.2084  10 Br 3.64-3.99
Cs  0.7916  0.7916  0.7916  10 Br 3.64-3.99
Ag  0.3974  0.3974  0.3974  4 Br 2.56-2.61
Ag  0.6026  0.6026  0.6026  4 Br 2.56-2.61
Br  0.2066  0.7424  0.7424  1 Ag 2.61
Br  0.2576  0.2576  0.7934  1 Ag 2.61
Br  0.2576  0.7934  0.2576  1 Ag 2.61
Br  0.3195  0.3195  0.3195  1 Ag 2.56
Br  0.6805  0.6805  0.6805  1 Ag 2.56
Br  0.7424  0.2066  0.7424  1 Ag 2.61
Br  0.7424  0.7424  0.2066  1 Ag 2.61
Br  0.7934  0.2576  0.2576  1 Ag 2.61

=====

Below is an optimized crystal structure of Tm2ThRh, with properties calculated at the GGA-PBE level.

## Properties
ΔE_f = -0.530 eV/atom
space group = Pnma, No. 62

Lattice parameters (Å, degrees): 7.0849 9.5831 6.3546 90.00 90.00 90.00
Last column: nearest neighbours and their distance in Å.
Element x y z (fractional)
Tm  0.1777  0.0657  0.1656  2 Rh 2.86-2.87
Tm  0.1777  0.4343  0.1656  2 Rh 2.86-2.87
Tm  0.3223  0.5657  0.6656  2 Rh 2.86-2.87
Tm  0.3223  0.9343  0.6656  2 Rh 2.86-2.87
Tm  0.6777  0.0657  0.3344  2 Rh 2.86-2.87
Tm  0.6777  0.4343  0.3344  2 Rh 2.86-2.87
Tm  0.8223  0.5657  0.8344  2 Rh 2.86-2.87
Tm  0.8223  0.9343  0.8344  2 Rh 2.86-2.87
Th  0.0370  0.2500  0.6512  2 Rh 2.73-2.83
Th  0.4630  0.7500  0.1512  2 Rh 2.73-2.83
Th  0.5370  0.2500  0.8488  2 Rh 2.73-2.83
Th  0.9630  0.7500  0.3488  2 Rh 2.73-2.83
Rh  0.1264  0.7500  0.9432  2 Th 2.73-2.83, 4 Tm 2.86-2.87
Rh  0.3736  0.2500  0.4432  2 Th 2.73-2.83, 4 Tm 2.86-2.87
Rh  0.6264  0.7500  0.5568  2 Th 2.73-2.83, 4 Tm 2.86-2.87
Rh  0.8736  0.2500  0.0568  2 Th 2.73-2.83, 4 Tm 2.86-2.87

=====

no.,Fermi-level density of states (states/eV per cell),total moment (μB per atom)
1,13.06,0.0000
2,25.34,0.0000
3,8.36,0.1551
4,1.66,0.0000
5,5.50,0.0000
6,7.05,0.1814
7,5.02,0.0000
8,5.92,0.0000
9,10.91,0.0491
10,17.96,0.0000